No. 1
Material: Pr3Sb3W2N12
Method: DFT, PBE
State: relaxed

Geometry as extended XYZ:
```
80
Lattice="-2.411 -9.023 -6.416 -3.214 -1.994 10.681 -5.531 9.052 -3.981" Properties=species:S:1:pos:R:3 pbc="T T T"
N -5.740 0.067 -6.203
N -7.840 3.587 0.122
N -4.300 -6.872 2.389
N -3.915 -8.067 -1.639
N -6.160 3.954 4.225
N -6.142 7.375 -0.280
N -5.945 -4.793 -1.349
N -4.072 -2.322 -0.136
N -3.047 -3.828 -2.676
N -4.001 -3.911 2.554
N -7.155 1.947 -2.271
N -4.996 -5.917 -3.942
N -4.079 -5.297 -6.892
N -3.315 -5.551 0.161
N -1.314 0.422 1.495
N -4.995 -6.124 5.559
N -7.240 6.103 1.922
N -4.544 0.219 -1.135
N -8.109 1.864 2.959
N -7.077 3.334 7.175
N -6.753 -1.774 -1.318
N -5.416 -2.030 6.486
N -6.611 -2.183 1.418
N -5.014 -9.339 0.563
N -5.837 -3.160 -7.022
N -4.494 1.741 4.314
N -7.084 0.358 0.419
N -3.844 -4.554 7.529
N -3.303 -1.369 4.280
N -10.189 -0.179 0.426
N -7.852 -0.595 -3.996
N -6.542 -0.612 4.119
N -6.883 -5.291 1.617
N -9.842 -2.386 -1.212
N -1.434 0.708 -1.258
N -4.613 -1.352 -3.836
N -6.662 -3.705 -4.030
N -4.403 -0.189 1.602
N -9.722 -2.672 1.541
N -5.211 2.830 1.633
N -4.272 3.327 -1.334
N -4.686 1.610 -4.158
N -0.967 -1.785 -0.143
N -6.470 -3.574 4.441
N -6.855 4.908 -2.105
N -5.319 1.196 7.305
N -6.160 4.161 -5.275
N -7.312 2.590 -7.246
W -1.205 -4.511 -3.208
W -2.765 4.526 -1.991
W -2.812 -5.508 2.132
W -3.971 0.015 -5.199
W -5.578 -0.982 0.142
W -4.372 3.529 3.350
W -1.607 -0.997 5.340
W 0.000 0.000 0.000
Sb -7.061 2.160 1.283
Sb -6.470 -1.857 -3.295
Sb -7.551 5.298 3.725
Sb -5.164 1.776 -2.224
Sb -6.659 -1.355 -7.265
Sb -5.312 -7.380 4.036
Sb -4.095 -4.124 -1.000
Sb -4.496 -0.609 7.548
Sb -3.604 -7.262 -3.442
Sb -4.686 -0.107 3.578
Sb -5.991 -3.740 2.507
Sb -5.844 5.416 -3.753
Pr -3.179 1.768 0.375
Pr -4.006 -3.747 5.107
Pr -7.977 -3.732 -0.092
Pr -2.499 -1.872 1.904
Pr -2.688 -1.370 -2.066
Pr -7.150 1.783 -4.824
Pr -6.872 1.658 5.253
Pr -5.501 -6.878 0.066
Pr -8.467 -0.594 2.350
Pr -4.284 -3.621 -4.970
Pr -5.655 4.914 0.217
Pr -8.656 -0.092 -1.620
```

Summary:
Energy   -7.935 eV/atom
Total magnetization   0.001 μB/f.u.

No. 2
Material: Pr2ScN3
Method: DFT, PBE
State: relaxed

Geometry as extended XYZ:
```
6
Lattice="-2.730 -2.174 -0.444 3.246 -1.056 -0.850 1.108 -3.025 7.990" Properties=species:S:1:pos:R:3 pbc="T T T"
N -0.025 -3.747 4.559
N 1.650 -2.508 2.137
N 0.000 0.000 0.000
Pr 2.164 -3.912 5.845
Pr -0.539 -2.343 0.851
Sc 0.554 -1.513 3.995
```

Summary:
Energy   -8.174 eV/atom
Total magnetization   0.001 μB/f.u.

No. 3
Material: Pr3SeN2
Method: DFT, PBE
State: relaxed

Geometry as extended XYZ:
```
6
Lattice="-2.624 -2.403 -1.311 2.869 -1.295 2.114 -5.360 1.411 8.140" Properties=species:S:1:pos:R:3 pbc="T T T"
N -3.476 -0.476 7.827
N -1.639 -1.811 1.115
Pr 0.000 0.000 0.000
Pr -4.607 -1.030 5.622
Pr -0.508 -1.257 3.320
Se -2.680 0.705 4.070
```

Summary:
Energy   -7.243 eV/atom
Total magnetization   0.001 μB/f.u.

No. 4
Material: Pr4Se3N
Method: DFT, PBE
State: relaxed

Geometry as extended XYZ:
```
8
Lattice="-2.939 2.939 5.874 2.939 -2.939 5.874 2.939 2.939 -5.874" Properties=species:S:1:pos:R:3 pbc="T T T"
Pr 0.000 0.000 8.308
Pr 0.000 0.000 3.441
Pr 2.939 0.000 0.000
Pr 0.000 2.939 0.000
N 0.000 0.000 5.874
Se 0.000 0.000 0.000
Se 0.000 2.939 2.937
Se 2.939 0.000 2.937
```

Summary:
Energy   -6.344 eV/atom
Total magnetization   0.007 μB/f.u.

No. 5
Material: Pr2SeN
Method: DFT, PBE
State: relaxed

Geometry as extended XYZ:
```
4
Lattice="1.928 1.113 6.842 -1.928 1.113 6.842 0.000 -2.226 6.842" Properties=species:S:1:pos:R:3 pbc="T T T"
N 0.000 0.000 0.000
Pr 0.000 0.000 15.068
Pr 0.000 0.000 5.458
Se 0.000 0.000 10.263
```

Summary:
Energy   -6.917 eV/atom
Total magnetization   0.001 μB/f.u.

No. 6
Material: PrSm3Se3N4
Method: DFT, PBE
State: relaxed

Geometry as extended XYZ:
```
11
Lattice="-4.137 -2.335 6.585 4.973 -4.837 1.409 6.087 -1.432 3.317" Properties=species:S:1:pos:R:3 pbc="T T T"
Sm 6.457 -4.869 4.917
Sm 4.457 -5.997 8.100
Sm -2.013 -1.199 3.316
N -2.027 -2.322 5.330
N -0.027 -1.193 2.145
N 6.725 -3.811 2.874
N 4.439 -4.856 6.073
Se 3.216 -2.618 2.794
Se 0.485 -4.159 7.141
Se 1.503 -3.191 4.819
Pr 0.135 -0.077 0.058
```

Summary:
Energy   -6.636 eV/atom
Total magnetization   2.014 μB/f.u.

No. 7
Material: Pr3Si6N11
Method: DFT, PBE
State: relaxed

Geometry as extended XYZ:
```
40
Lattice="10.116 0.000 0.000 0.000 10.116 0.000 0.000 0.000 4.855" Properties=species:S:1:pos:R:3 pbc="T T T"
Si 2.118 9.320 4.344
Si 3.873 8.931 1.967
Si 7.175 5.853 4.344
Si 9.320 7.998 4.344
Si 7.998 0.795 4.344
Si 4.263 7.175 4.344
Si 6.242 1.185 1.967
Si 5.853 2.940 4.344
Si 2.940 4.263 4.344
Si 1.185 3.873 1.967
Si 0.795 2.118 4.344
Si 8.931 6.242 1.967
N 0.000 5.058 2.127
N 3.237 5.871 0.024
N 7.793 0.762 2.623
N 6.878 4.245 0.024
N 1.540 3.517 0.278
N 5.820 2.735 2.623
N 2.322 9.353 2.623
N 2.735 4.295 2.623
N 9.353 7.793 2.623
N 0.813 8.295 0.024
N 8.575 6.598 0.278
N 4.245 3.237 0.024
N 4.295 7.380 2.623
N 8.295 9.303 0.024
N 5.058 0.000 2.127
N 1.821 0.813 0.024
N 6.598 1.540 0.278
N 9.303 1.821 0.024
N 5.871 6.878 0.024
N 7.380 5.820 2.623
N 0.762 2.322 2.623
N 3.517 8.575 0.278
Pr 3.220 1.837 1.807
Pr 0.000 0.000 1.715
Pr 8.278 3.220 1.807
Pr 1.837 6.895 1.807
Pr 6.895 8.278 1.807
Pr 5.058 5.058 1.715
```

Summary:
Energy   -8.207 eV/atom
Total magnetization   0.005 μB/f.u.

No. 8
Material: PrSm2N3
Method: DFT, PBE
State: relaxed

Geometry as extended XYZ:
```
6
Lattice="3.604 0.000 0.000 -1.802 3.121 0.000 0.000 0.000 8.829" Properties=species:S:1:pos:R:3 pbc="T T T"
Sm 0.000 2.081 7.381
Sm 1.802 1.040 1.448
N 0.000 0.000 0.000
N 1.802 1.040 5.936
N 0.000 2.081 2.893
Pr 0.000 0.000 4.415
```

Summary:
Energy   -7.943 eV/atom
Total magnetization   0.002 μB/f.u.

No. 9
Material: Pr2SmTa2N6
Method: DFT, PBE
State: relaxed

Geometry as extended XYZ:
```
11
Lattice="-2.021 2.021 9.849 2.021 -2.021 9.849 2.021 2.021 -9.849" Properties=species:S:1:pos:R:3 pbc="T T T"
Sm 0.000 0.000 0.000
N 0.000 0.000 13.753
N 0.000 2.021 1.621
N 0.000 0.000 5.946
N 2.021 0.000 8.229
N 2.021 0.000 1.621
N 0.000 2.021 8.229
Ta 0.000 0.000 7.905
Ta 0.000 0.000 11.794
Pr 0.000 0.000 16.163
Pr 0.000 0.000 3.536
```

Summary:
Energy   -9.343 eV/atom
Total magnetization   0.003 μB/f.u.

No. 10
Material: Pr3SnN
Method: DFT, PBE
State: relaxed

Geometry as extended XYZ:
```
5
Lattice="-0.290 5.017 -0.496 -3.060 -0.570 -3.976 -4.006 0.072 3.072" Properties=species:S:1:pos:R:3 pbc="T T T"
Pr -2.003 0.036 1.536
Pr -1.530 -0.285 -1.988
Pr -0.145 2.508 -0.248
N 0.000 0.000 0.000
Sn -3.678 2.260 -0.700
```

Summary:
Energy   -6.261 eV/atom
Total magnetization   0.005 μB/f.u.

No. 11
Material: Pr3Ta2N6
Method: DFT, PBE
State: relaxed

Geometry as extended XYZ:
```
11
Lattice="-8.027 -0.823 6.481 -7.288 4.791 5.571 5.865 -2.110 -8.262" Properties=species:S:1:pos:R:3 pbc="T T T"
Pr 0.000 0.000 0.000
Pr -12.563 3.255 9.887
Pr -2.752 0.713 2.166
N -4.612 1.195 3.630
N -2.010 1.677 -0.323
N -10.702 2.773 8.422
N -2.380 -1.130 0.132
N -7.439 0.181 4.114
N -7.070 2.988 3.659
Ta -6.116 1.585 4.813
Ta -9.199 2.384 7.239
```

Summary:
Energy   -9.335 eV/atom
Total magnetization   0.002 μB/f.u.

No. 12
Material: Pr2TcN3
Method: DFT, PBE
State: relaxed

Geometry as extended XYZ:
```
6
Lattice="-1.305 0.449 6.883 -5.374 2.104 3.997 2.571 -3.787 -5.323" Properties=species:S:1:pos:R:3 pbc="T T T"
Pr -4.335 1.657 7.062
Pr -2.344 0.896 3.818
N -5.610 2.145 9.139
N -1.069 0.409 1.741
N 0.633 -1.669 0.780
Tc 0.000 0.000 0.000
```

Summary:
Energy   -8.419 eV/atom
Total magnetization   0.032 μB/f.u.

Q: Among the records above, which one has the highest total magnetization?
A: PrSm3Se3N4

Q: Which value of total magnetization does entry 12 give?
A: 0.032 μB/f.u.

Copy entry 10 word for word.
Material: Pr3SnN
Method: DFT, PBE
State: relaxed

Geometry as extended XYZ:
```
5
Lattice="-0.290 5.017 -0.496 -3.060 -0.570 -3.976 -4.006 0.072 3.072" Properties=species:S:1:pos:R:3 pbc="T T T"
Pr -2.003 0.036 1.536
Pr -1.530 -0.285 -1.988
Pr -0.145 2.508 -0.248
N 0.000 0.000 0.000
Sn -3.678 2.260 -0.700
```

Summary:
Energy   -6.261 eV/atom
Total magnetization   0.005 μB/f.u.

Copy entry 9 word for word.
Material: Pr2SmTa2N6
Method: DFT, PBE
State: relaxed

Geometry as extended XYZ:
```
11
Lattice="-2.021 2.021 9.849 2.021 -2.021 9.849 2.021 2.021 -9.849" Properties=species:S:1:pos:R:3 pbc="T T T"
Sm 0.000 0.000 0.000
N 0.000 0.000 13.753
N 0.000 2.021 1.621
N 0.000 0.000 5.946
N 2.021 0.000 8.229
N 2.021 0.000 1.621
N 0.000 2.021 8.229
Ta 0.000 0.000 7.905
Ta 0.000 0.000 11.794
Pr 0.000 0.000 16.163
Pr 0.000 0.000 3.536
```

Summary:
Energy   -9.343 eV/atom
Total magnetization   0.003 μB/f.u.